The following is a PBEsol calculation of a relaxed structure of Al2HgW, from Alexandria via LeMat-Bulk.

Properties
As for the formation energy: 0.176 eV per atom. The total energy comes out at -5.46 eV per atom.

Cell lengths 5.837, 7.744, 2.877 Å; angles 90.00, 90.00, 90.00 degrees
Space group Cmmm (No. 65)
Asymmetric unit:
Al: 0.250 0.250 0.000
Hg: 0.000 0.000 0.500
W: 0.000 0.500 0.500

---

The following is a PBEsol calculation of a relaxed structure of Y2Al2Hg, from Alexandria via LeMat-Bulk.

Properties
As for the formation energy: -0.511 eV per atom. The total energy comes out at -4.99 eV per atom.

Cell lengths 6.942, 6.942, 4.632 Å; angles 90.00, 90.00, 90.00 degrees
Space group P4/mbm (No. 127)
Asymmetric unit:
Y: 0.170 0.330 0.000
Al: 0.133 0.633 0.500
Hg: 0.000 0.000 0.500

---

The following is a PBEsol calculation of a relaxed structure of Y2AlHg2, from Alexandria via LeMat-Bulk.

Properties
As for the formation energy: -0.501 eV per atom. The total energy comes out at -4.27 eV per atom.

Cell lengths 7.304, 7.304, 4.421 Å; angles 90.00, 90.00, 90.00 degrees
Space group P4/mbm (No. 127)
Asymmetric unit:
Y: 0.169 0.331 0.000
Al: 0.000 0.000 0.500
Hg: 0.138 0.638 0.500

---

The following is a PBEsol calculation of a relaxed structure of YAl2Hg, from Alexandria via LeMat-Bulk.

Properties
For the energy above the most stable polymorph in this dataset, the calculation gives 0.000 eV/atom. As for the formation energy: -0.427 eV per atom. The total energy comes out at -4.32 eV per atom.

Cell lengths 4.345, 4.345, 4.234 Å; angles 90.00, 90.00, 90.00 degrees
Space group P4/mmm (No. 123)
Asymmetric unit:
Y: 0.000 0.000 0.000
Al: 0.000 0.500 0.500
Hg: 0.500 0.500 0.000

---

The following is a PBEsol calculation of a relaxed structure of YAl2Hg, from Alexandria via LeMat-Bulk.

Properties
For the energy above the most stable polymorph in this dataset, the calculation gives 0.224 eV/atom. As for the formation energy: -0.203 eV per atom. The total energy comes out at -4.10 eV per atom.

Cell lengths 6.919, 6.919, 6.919 Å; angles 90.00, 90.00, 90.00 degrees
Space group F-43m (No. 216)
Asymmetric unit:
Y: 0.000 0.000 0.000
Al: 0.000 0.000 0.500
Al: 0.250 0.250 0.750
Hg: 0.250 0.250 0.250

---

The following is a PBEsol calculation of a relaxed structure of YAl2Hg, from Alexandria via LeMat-Bulk.

Properties
For the energy above the most stable polymorph in this dataset, the calculation gives 0.437 eV/atom. As for the formation energy: 0.010 eV per atom. The total energy comes out at -3.88 eV per atom.

Cell lengths 3.2542, 3.2542, 28.2308 Å; angles 90.00, 90.00, 120.00 degrees
Space group R-3m (No. 166, hexagonal axes)
Asymmetric unit:
Y: 0.0000 0.0000 0.0000
Al: 0.0000 0.0000 0.2440
Hg: 0.0000 0.0000 0.5000